# LaTa2Cd | Alexandria | PBE | optimized geometry
data_LaTa2Cd
_chemical_formula_sum 'La2 Ta4 Cd2'
_cell_length_a 9.762
_cell_length_b 3.003
_cell_length_c 6.404
_cell_angle_alpha 90.00
_cell_angle_beta 95.10
_cell_angle_gamma 90.00
_space_group_name_H-M_alt 'C 1 m 1'
_space_group_IT_number 8
_space_group_name_Hall 'C -2y'
loop_
_atom_site_label
_atom_site_fract_x
_atom_site_fract_y
_atom_site_fract_z
La1 0.000 0.000 0.000
Ta1 0.230 0.000 0.697
Ta2 0.491 0.000 0.533
Cd1 0.253 0.500 0.291
# DOS(E_F) = 9.9 states/eV/cell
# crystal system = monoclinic
# calculated formation energy = 0.452 eV per atom